Compound: Pm12Nd5Ho
Source: Alexandria via LeMat-Bulk
Functional: PBE-GGA
Structure: relaxed

## Properties
* M_tot: 0.00 μB per formula unit
* DFT formation energy: 0.08 eV/atom
* symmetry: C2/m

Unit cell a=12.0325 b=10.6053 c=5.8951 alpha=89.97 beta=89.95 gamma=55.44
Fractional coordinates of all 18 atoms:
Nd (0.5000, 0.0000, 0.5000)
Pm (0.4729, 0.3592, 0.5069)
Nd (0.1352, 0.7296, 0.5000)
Pm (0.2977, 0.0000, 0.0424)
Pm (0.8014, 0.0000, 0.4587)
Pm (0.3321, 0.6421, 0.9933)
Pm (0.8320, 0.6408, 0.5069)
Pm (0.1986, 0.0000, 0.5413)
Pm (0.9742, 0.3579, 0.9933)
Pm (0.5271, 0.6408, 0.4931)
Ho (0.0000, 0.0000, 0.0000)
Pm (0.0258, 0.6421, 0.0067)
Pm (0.6679, 0.3579, 0.0067)
Pm (0.1680, 0.3592, 0.4931)
Pm (0.7023, 0.0000, 0.9576)
Nd (0.8648, 0.2704, 0.5000)
Nd (0.6375, 0.7251, 0.0000)
Nd (0.3625, 0.2749, 0.0000)